Below is a relaxed structure of NiRuSe3, with properties calculated at the PBE level.

Lattice parameters (Å, degrees): 4.583 4.583 4.583 90.00 90.00 90.00
Space group Pm-3m (No. 221)
Symmetry-distinct sites (fractional):
Ni 0.000 0.000 0.000 (multiplicity 1)
Ru 0.500 0.500 0.500 (multiplicity 1)
Se 0.000 0.000 0.500 (multiplicity 3)

Properties
E_form (uncorrected)   0.813 eV/atom
ρ   6.8 g cm⁻³
Raw total energy   -4.289 eV per atom
Magnetization   0.00 μB/cell